Entry 1:
Density functional theory data (GGA-PBE) for La2AsOs after structural relaxation.

Values from the calculation:
The value obtained for the formation energy from the elements is -73 meV/atom. The raw total energy comes out at -6.5061 eV/atom. As for the spin magnetization: 0.099 μB/f.u.

```
data_La2AsOs
_symmetry_space_group_name_H-M 'P 4 m m'
_symmetry_Int_Tables_number 99
_cell_length_a 3.310
_cell_length_b 3.310
_cell_length_c 9.069
_cell_angle_alpha 90.00
_cell_angle_beta 90.00
_cell_angle_gamma 90.00
loop_
_symmetry_equiv_pos_as_xyz
'x,y,z'
'-y,x,z'
'-x,-y,z'
'y,-x,z'
'-x,y,z'
'y,x,z'
'x,-y,z'
'-y,-x,z'
loop_
_atom_site_label
_atom_site_type_symbol
_atom_site_fract_x
_atom_site_fract_y
_atom_site_fract_z
La1 La 0.000 0.000 0.000
La2 La 0.500 0.500 0.393
As1 As 0.500 0.500 0.757
Os1 Os 0.000 0.000 0.629
```

Entry 2:
Density functional theory data (GGA-PBE) for LaAsOsPt2 after structural relaxation.

Values from the calculation:
The value obtained for the formation energy from the elements is 536 meV/atom. The raw total energy comes out at -6.0420 eV/atom. As for the spin magnetization: 0.000 μB/f.u.

```
data_LaAsOsPt2
_symmetry_space_group_name_H-M 'P 4/m m m'
_symmetry_Int_Tables_number 123
_symmetry_space_group_name_Hall '-P 4 2'
_cell_length_a 4.821
_cell_length_b 4.821
_cell_length_c 5.538
_cell_angle_alpha 90.00
_cell_angle_beta 90.00
_cell_angle_gamma 90.00
loop_
_atom_site_label
_atom_site_type_symbol
_atom_site_fract_x
_atom_site_fract_y
_atom_site_fract_z
La1 La 0.000 0.000 0.000
As1 As 0.500 0.500 0.000
Os1 Os 0.000 0.000 0.500
Pt1 Pt 0.000 0.500 0.500
```

Entry 3:
Density functional theory data (GGA-PBE) for La2ReAsOs after structural relaxation.

Values from the calculation:
The value obtained for the formation energy from the elements is 658 meV/atom. The raw total energy comes out at -6.9785 eV/atom. As for the spin magnetization: 2.829 μB/f.u.

```
data_La2ReAsOs
_symmetry_space_group_name_H-M 'P 4/m m m'
_symmetry_Int_Tables_number 123
_symmetry_space_group_name_Hall '-P 4 2'
_cell_length_a 5.574
_cell_length_b 5.574
_cell_length_c 4.593
_cell_angle_alpha 90.00
_cell_angle_beta 90.00
_cell_angle_gamma 90.00
loop_
_atom_site_label
_atom_site_type_symbol
_atom_site_fract_x
_atom_site_fract_y
_atom_site_fract_z
La1 La 0.000 0.500 0.000
Re1 Re 0.000 0.000 0.500
As1 As 0.500 0.500 0.500
Os1 Os 0.500 0.500 0.000
```

Which of these has the highest spin magnetization? La2ReAsOs

Look up the spin magnetization of the second one. 0.000 μB/f.u.

Copy entry 1 word for word.
Density functional theory data (GGA-PBE) for La2AsOs after structural relaxation.

Values from the calculation:
The value obtained for the formation energy from the elements is -73 meV/atom. The raw total energy comes out at -6.5061 eV/atom. As for the spin magnetization: 0.099 μB/f.u.

```
data_La2AsOs
_symmetry_space_group_name_H-M 'P 4 m m'
_symmetry_Int_Tables_number 99
_cell_length_a 3.310
_cell_length_b 3.310
_cell_length_c 9.069
_cell_angle_alpha 90.00
_cell_angle_beta 90.00
_cell_angle_gamma 90.00
loop_
_symmetry_equiv_pos_as_xyz
'x,y,z'
'-y,x,z'
'-x,-y,z'
'y,-x,z'
'-x,y,z'
'y,x,z'
'x,-y,z'
'-y,-x,z'
loop_
_atom_site_label
_atom_site_type_symbol
_atom_site_fract_x
_atom_site_fract_y
_atom_site_fract_z
La1 La 0.000 0.000 0.000
La2 La 0.500 0.500 0.393
As1 As 0.500 0.500 0.757
Os1 Os 0.000 0.000 0.629
```

The highest raw total energy belongs to which entry? LaAsOsPt2